VASP calculation (PBEsol) on LaBe2Ir after structural relaxation.

## Properties
VASP energy ... -6.0461 eV/atom
E above lowest polymorph ... 0.600 eV/f.u.
DFT formation energy ... -0.254 eV per atom
Size of the total moment ... 0.0000 μB/atom

Cell and atoms, written as CIF:
```
data_LaBe2Ir
_chemical_formula_sum 'La1 Be2 Ir1'
_symmetry_space_group_name_H-M 'P 4/m m m'
_symmetry_Int_Tables_number 123
_symmetry_space_group_name_Hall '-P 4 2'
_cell_length_a 2.940
_cell_length_b 2.940
_cell_length_c 6.909
_cell_angle_alpha 90.00
_cell_angle_beta 90.00
_cell_angle_gamma 90.00
loop_
_atom_site_label
_atom_site_type_symbol
_atom_site_fract_x
_atom_site_fract_y
_atom_site_fract_z
La1 La 0.000 0.000 0.000
Be1 Be 0.500 0.500 0.338
Ir1 Ir 0.000 0.000 0.500
```

VASP calculation (PBEsol) on LaBe2Ir after structural relaxation.

## Properties
VASP energy ... -6.1962 eV/atom
E above lowest polymorph ... 0.000 eV/f.u.
DFT formation energy ... -0.404 eV per atom
Size of the total moment ... 0.0001 μB/atom

Cell and atoms, written as CIF:
```
data_LaBe2Ir
_chemical_formula_sum 'La3 Be6 Ir3'
_symmetry_space_group_name_H-M 'R -3 m'
_symmetry_Int_Tables_number 166
_symmetry_space_group_name_Hall '-R 3 2"'
_cell_length_a 3.9118
_cell_length_b 3.9118
_cell_length_c 15.1183
_cell_angle_alpha 90.00
_cell_angle_beta 90.00
_cell_angle_gamma 120.00
loop_
_atom_site_label
_atom_site_type_symbol
_atom_site_fract_x
_atom_site_fract_y
_atom_site_fract_z
La1 La 0.0000 0.0000 0.0000
Be1 Be 0.0000 0.0000 0.1912
Ir1 Ir 0.0000 0.0000 0.5000
```

VASP calculation (PBEsol) on La2BeIr after structural relaxation.

## Properties
VASP energy ... -6.2760 eV/atom
DFT formation energy ... -0.147 eV per atom
Size of the total moment ... 0.0000 μB/atom

Cell and atoms, written as CIF:
```
data_La2BeIr
_chemical_formula_sum 'La2 Be1 Ir1'
_symmetry_space_group_name_H-M 'P 4 m m'
_symmetry_Int_Tables_number 99
_cell_length_a 3.149
_cell_length_b 3.149
_cell_length_c 8.682
_cell_angle_alpha 90.00
_cell_angle_beta 90.00
_cell_angle_gamma 90.00
loop_
_symmetry_equiv_pos_as_xyz
'x,y,z'
'-y,x,z'
'-x,-y,z'
'y,-x,z'
'-x,y,z'
'y,x,z'
'x,-y,z'
'-y,-x,z'
loop_
_atom_site_label
_atom_site_type_symbol
_atom_site_fract_x
_atom_site_fract_y
_atom_site_fract_z
La1 La 0.000 0.000 0.000
La2 La 0.500 0.500 0.406
Be1 Be 0.000 0.000 0.656
Ir1 Ir 0.500 0.500 0.755
```

VASP calculation (PBEsol) on LaBePIr2 after structural relaxation.

## Properties
VASP energy ... -6.7436 eV/atom
DFT formation energy ... 0.213 eV per atom
Size of the total moment ... 0.0012 μB/atom

Cell and atoms, written as CIF:
```
data_LaBePIr2
_chemical_formula_sum 'La1 Be1 P1 Ir2'
_symmetry_space_group_name_H-M 'P 4/m m m'
_symmetry_Int_Tables_number 123
_symmetry_space_group_name_Hall '-P 4 2'
_cell_length_a 4.163
_cell_length_b 4.163
_cell_length_c 5.097
_cell_angle_alpha 90.00
_cell_angle_beta 90.00
_cell_angle_gamma 90.00
loop_
_atom_site_label
_atom_site_type_symbol
_atom_site_fract_x
_atom_site_fract_y
_atom_site_fract_z
La1 La 0.000 0.000 0.000
Be1 Be 0.000 0.000 0.500
P1 P 0.500 0.500 0.000
Ir1 Ir 0.000 0.500 0.500
```

The following Fermi-level density of states values (in states/eV/f.u.) correspond, in order, to the records above: 1.93; 2.28; 3.83; 5.66.